[1]
First-principles (PBE-GGA) data for a relaxed SnTeMoH2 crystal, as listed in the Alexandria database.

a b c (Å): 3.892 3.892 5.886
angles (deg): 90.00 90.00 90.00
Fractional coordinates of all 5 atoms:
Sn: 0.000 0.000 0.000
Te: 0.500 0.500 0.500
Mo: 0.000 0.000 0.500
H: 0.000 0.500 0.000
H: 0.500 0.000 0.000



[2]
First-principles (PBE-GGA) data for a relaxed TiSnMo2H crystal, as listed in the Alexandria database.

a b c (Å): 4.140 4.140 4.070
angles (deg): 90.00 90.00 90.00
Fractional coordinates of all 5 atoms:
Ti: 0.000 0.000 0.000
Sn: 0.500 0.500 0.000
Mo: 0.000 0.500 0.500
Mo: 0.500 0.000 0.500
H: 0.000 0.000 0.500



[3]
First-principles (PBE-GGA) data for a relaxed Ti2SnMoH crystal, as listed in the Alexandria database.

a b c (Å): 4.279 4.279 3.857
angles (deg): 90.00 90.00 90.00
Fractional coordinates of all 5 atoms:
Ti: 0.000 0.500 0.000
Ti: 0.500 0.000 0.000
Sn: 0.000 0.000 0.500
Mo: 0.500 0.500 0.500
H: 0.500 0.500 0.000



[4]
First-principles (PBE-GGA) data for a relaxed V2SnMoH crystal, as listed in the Alexandria database.

a b c (Å): 4.020 4.020 4.024
angles (deg): 90.00 90.00 90.00
Fractional coordinates of all 5 atoms:
V: 0.000 0.500 0.000
V: 0.500 0.000 0.000
Sn: 0.000 0.000 0.500
Mo: 0.500 0.500 0.500
H: 0.500 0.500 0.000



[5]
First-principles (PBE-GGA) data for a relaxed VSnMo2H crystal, as listed in the Alexandria database.

a b c (Å): 4.169 4.169 3.886
angles (deg): 90.00 90.00 90.00
Fractional coordinates of all 5 atoms:
V: 0.000 0.000 0.000
Sn: 0.500 0.500 0.000
Mo: 0.000 0.500 0.500
Mo: 0.500 0.000 0.500
H: 0.000 0.000 0.500



[6]
First-principles (PBE-GGA) data for a relaxed Sn2MoHW crystal, as listed in the Alexandria database.

a b c (Å): 4.715 4.715 3.476
angles (deg): 90.00 90.00 90.00
Fractional coordinates of all 5 atoms:
Sn: 0.000 0.500 0.000
Sn: 0.500 0.000 0.000
Mo: 0.000 0.000 0.500
H: 0.000 0.000 0.000
W: 0.500 0.500 0.500



[7]
First-principles (PBE-GGA) data for a relaxed SrMoH3 crystal, as listed in the Alexandria database.

a b c (Å): 3.846 3.846 3.846
angles (deg): 90.00 90.00 90.00
Fractional coordinates of all 5 atoms:
Sr: 0.000 0.000 0.000
Mo: 0.500 0.500 0.500
H: 0.000 0.500 0.500
H: 0.500 0.000 0.500
H: 0.500 0.500 0.000

Polymorph energy (0 for the lowest one)   0.000 eV/atom



[8]
First-principles (PBE-GGA) data for a relaxed Sr2MoH6 crystal, as listed in the Alexandria database.

a b c (Å): 5.499 5.499 5.499
angles (deg): 60.00 60.00 60.00
Fractional coordinates of all 9 atoms:
Sr: 0.250 0.250 0.250
Sr: 0.750 0.750 0.750
Mo: 0.000 0.000 0.000
H: 0.238 0.238 0.762
H: 0.238 0.762 0.238
H: 0.238 0.762 0.762
H: 0.762 0.238 0.238
H: 0.762 0.238 0.762
H: 0.762 0.762 0.238



[9]
First-principles (PBE-GGA) data for a relaxed Sr3MoH crystal, as listed in the Alexandria database.

a b c (Å): 5.314 5.314 5.314
angles (deg): 90.00 90.00 90.00
Fractional coordinates of all 5 atoms:
Sr: 0.000 0.000 0.500
Sr: 0.000 0.500 0.000
Sr: 0.500 0.000 0.000
Mo: 0.500 0.500 0.500
H: 0.000 0.000 0.000

Polymorph energy (0 for the lowest one)   0.000 eV/atom



[10]
First-principles (PBE-GGA) data for a relaxed SrMoH3 crystal, as listed in the Alexandria database.

a b c (Å): 4.437 4.437 4.437
angles (deg): 90.00 90.00 90.00
Fractional coordinates of all 5 atoms:
Sr: 0.000 0.000 0.000
Mo: 0.500 0.500 0.500
H: 0.000 0.000 0.500
H: 0.000 0.500 0.000
H: 0.500 0.000 0.000

Polymorph energy (0 for the lowest one)   1.071 eV/atom



[11]
First-principles (PBE-GGA) data for a relaxed SrMo2H7 crystal, as listed in the Alexandria database.

a b c (Å): 5.606 5.606 3.565
angles (deg): 90.00 90.00 124.68
Fractional coordinates of all 10 atoms:
Sr: 0.000 0.000 0.000
Mo: 0.314 0.686 0.500
Mo: 0.686 0.314 0.500
H: 0.023 0.311 0.500
H: 0.311 0.023 0.500
H: 0.373 0.627 0.000
H: 0.500 0.500 0.500
H: 0.627 0.373 0.000
H: 0.689 0.977 0.500
H: 0.977 0.689 0.500



[12]
First-principles (PBE-GGA) data for a relaxed SrMo2H crystal, as listed in the Alexandria database.

a b c (Å): 5.874 5.874 5.874
angles (deg): 119.91 119.91 90.15
Fractional coordinates of all 8 atoms:
Sr: 0.375 0.625 0.750
Sr: 0.625 0.375 0.250
Mo: 0.000 0.000 0.000
Mo: 0.000 0.000 0.500
Mo: 0.000 0.500 0.000
Mo: 0.500 0.000 0.500
H: 0.125 0.875 0.250
H: 0.875 0.125 0.750

Polymorph energy (0 for the lowest one)   0.000 eV/atom



[13]
First-principles (PBE-GGA) data for a relaxed SrMo2H crystal, as listed in the Alexandria database.

a b c (Å): 4.566 4.566 4.566
angles (deg): 60.00 60.00 60.00
Fractional coordinates of all 4 atoms:
Sr: 0.000 0.000 0.000
Mo: 0.250 0.250 0.250
Mo: 0.750 0.750 0.750
H: 0.500 0.500 0.500

Polymorph energy (0 for the lowest one)   1.594 eV/atom



[14]
First-principles (PBE-GGA) data for a relaxed Ta2Mo2H3 crystal, as listed in the Alexandria database.

a b c (Å): 5.244 5.244 5.015
angles (deg): 106.62 106.62 34.50
Fractional coordinates of all 7 atoms:
Ta: 0.112 0.112 0.343
Ta: 0.888 0.888 0.657
Mo: 0.369 0.369 0.117
Mo: 0.631 0.631 0.883
H: 0.258 0.258 0.734
H: 0.500 0.500 0.500
H: 0.742 0.742 0.266



[15]
First-principles (PBE-GGA) data for a relaxed Ta3MoH crystal, as listed in the Alexandria database.

a b c (Å): 4.200 4.200 4.200
angles (deg): 90.00 90.00 90.00
Fractional coordinates of all 5 atoms:
Ta: 0.000 0.000 0.500
Ta: 0.000 0.500 0.000
Ta: 0.500 0.000 0.000
Mo: 0.500 0.500 0.500
H: 0.000 0.000 0.000

Polymorph energy (0 for the lowest one)   0.000 eV/atom



[16]
First-principles (PBE-GGA) data for a relaxed TaMoH4 crystal, as listed in the Alexandria database.

a b c (Å): 5.496 5.484 4.451
angles (deg): 66.22 65.95 47.83
Fractional coordinates of all 12 atoms:
Ta: 0.125 0.125 0.125
Ta: 0.875 0.875 0.875
Mo: 0.375 0.375 0.375
Mo: 0.625 0.625 0.625
H: 0.000 0.499 0.745
H: 0.000 0.501 0.255
H: 0.255 0.743 0.000
H: 0.257 0.745 0.499
H: 0.499 0.000 0.257
H: 0.501 0.000 0.743
H: 0.743 0.255 0.501
H: 0.745 0.257 0.000

Polymorph energy (0 for the lowest one)   0.000 eV/atom



[17]
First-principles (PBE-GGA) data for a relaxed Ta2MoH6 crystal, as listed in the Alexandria database.

a b c (Å): 5.522 5.522 5.522
angles (deg): 146.79 132.20 59.44
Fractional coordinates of all 9 atoms:
Ta: 0.166 0.166 0.000
Ta: 0.834 0.834 0.000
Mo: 0.500 0.500 0.000
H: 0.091 0.334 0.756
H: 0.254 0.000 0.254
H: 0.422 0.666 0.756
H: 0.578 0.334 0.244
H: 0.746 0.000 0.746
H: 0.909 0.666 0.244



[18]
First-principles (PBE-GGA) data for a relaxed TaMoH3 crystal, as listed in the Alexandria database.

a b c (Å): 6.460 6.460 4.672
angles (deg): 92.85 92.85 111.96
Fractional coordinates of all 20 atoms:
Ta: 0.047 0.235 0.046
Ta: 0.235 0.047 0.546
Ta: 0.765 0.953 0.454
Ta: 0.953 0.765 0.954
Mo: 0.304 0.696 0.250
Mo: 0.429 0.571 0.750
Mo: 0.571 0.429 0.250
Mo: 0.696 0.304 0.750
H: 0.049 0.737 0.388
H: 0.150 0.567 0.891
H: 0.263 0.951 0.112
H: 0.266 0.394 0.400
H: 0.394 0.266 0.900
H: 0.433 0.850 0.609
H: 0.567 0.150 0.391
H: 0.606 0.734 0.100
H: 0.734 0.606 0.600
H: 0.737 0.049 0.888
H: 0.850 0.433 0.109
H: 0.951 0.263 0.612

Polymorph energy (0 for the lowest one)   0.217 eV/atom



[19]
First-principles (PBE-GGA) data for a relaxed Ta2MoH2 crystal, as listed in the Alexandria database.

a b c (Å): 6.880 6.880 2.724
angles (deg): 90.00 90.00 90.00
Fractional coordinates of all 10 atoms:
Ta: 0.139 0.361 0.000
Ta: 0.361 0.861 0.000
Ta: 0.639 0.139 0.000
Ta: 0.861 0.639 0.000
Mo: 0.000 0.000 0.000
Mo: 0.500 0.500 0.000
H: 0.099 0.599 0.500
H: 0.401 0.099 0.500
H: 0.599 0.901 0.500
H: 0.901 0.401 0.500

Polymorph energy (0 for the lowest one)   0.863 eV/atom



[20]
First-principles (PBE-GGA) data for a relaxed Ta2MoH4 crystal, as listed in the Alexandria database.

a b c (Å): 5.697 5.697 5.697
angles (deg): 60.00 60.00 60.00
Fractional coordinates of all 14 atoms:
Ta: 0.000 0.000 0.000
Ta: 0.000 0.000 0.500
Ta: 0.000 0.500 0.000
Ta: 0.500 0.000 0.000
Mo: 0.375 0.375 0.375
Mo: 0.625 0.625 0.625
H: 0.233 0.756 0.756
H: 0.244 0.244 0.244
H: 0.244 0.244 0.767
H: 0.244 0.767 0.244
H: 0.756 0.233 0.756
H: 0.756 0.756 0.233
H: 0.756 0.756 0.756
H: 0.767 0.244 0.244



[21]
First-principles (PBE-GGA) data for a relaxed TaMoH2 crystal, as listed in the Alexandria database.

a b c (Å): 5.617 5.700 5.078
angles (deg): 90.00 90.00 90.00
Fractional coordinates of all 16 atoms:
Ta: 0.120 0.103 0.000
Ta: 0.380 0.603 0.500
Ta: 0.620 0.397 0.000
Ta: 0.880 0.897 0.500
Mo: 0.087 0.628 0.000
Mo: 0.413 0.128 0.500
Mo: 0.587 0.872 0.000
Mo: 0.913 0.372 0.500
H: 0.068 0.634 0.358
H: 0.106 0.128 0.372
H: 0.394 0.628 0.872
H: 0.432 0.134 0.858
H: 0.568 0.866 0.358
H: 0.606 0.372 0.372
H: 0.894 0.872 0.872
H: 0.932 0.366 0.858

Polymorph energy (0 for the lowest one)   0.039 eV/atom



[22]
First-principles (PBE-GGA) data for a relaxed TaMo3H crystal, as listed in the Alexandria database.

a b c (Å): 4.784 4.784 4.784
angles (deg): 90.00 90.00 90.00
Fractional coordinates of all 5 atoms:
Ta: 0.000 0.000 0.000
Mo: 0.000 0.000 0.500
Mo: 0.000 0.500 0.000
Mo: 0.500 0.000 0.000
H: 0.500 0.500 0.500

Polymorph energy (0 for the lowest one)   2.373 eV/atom



[23]
First-principles (PBE-GGA) data for a relaxed Ta2MoH2 crystal, as listed in the Alexandria database.

a b c (Å): 3.158 3.158 6.130
angles (deg): 90.00 90.00 90.00
Fractional coordinates of all 5 atoms:
Ta: 0.000 0.000 0.239
Ta: 0.000 0.000 0.761
Mo: 0.500 0.500 0.500
H: 0.000 0.500 0.000
H: 0.500 0.000 0.000

Polymorph energy (0 for the lowest one)   0.184 eV/atom



[24]
First-principles (PBE-GGA) data for a relaxed TaMoH2 crystal, as listed in the Alexandria database.

a b c (Å): 4.832 2.744 7.193
angles (deg): 90.00 107.53 90.00
Fractional coordinates of all 8 atoms:
Ta: 0.053 0.250 0.204
Ta: 0.947 0.750 0.796
Mo: 0.302 0.750 0.570
Mo: 0.698 0.250 0.430
H: 0.214 0.750 0.068
H: 0.256 0.250 0.775
H: 0.744 0.750 0.225
H: 0.786 0.250 0.932

Polymorph energy (0 for the lowest one)   0.148 eV/atom



[25]
First-principles (PBE-GGA) data for a relaxed Ta3MoH crystal, as listed in the Alexandria database.

a b c (Å): 4.851 4.851 4.851
angles (deg): 90.00 90.00 90.00
Fractional coordinates of all 5 atoms:
Ta: 0.000 0.000 0.500
Ta: 0.000 0.500 0.000
Ta: 0.500 0.000 0.000
Mo: 0.000 0.000 0.000
H: 0.500 0.500 0.500

Polymorph energy (0 for the lowest one)   1.947 eV/atom



no.,N(E_F) (states/eV per cell),VASP energy (eV/atom)
1,2.3,-4.4117
2,3.2,-7.4634
3,4.6,-7.0893
4,2.6,-7.3033
5,4.9,-7.5202
6,5.7,-6.4872
7,2.9,-4.5995
8,3.3,-4.1285
9,3.5,-3.3403
10,0.6,-3.5282
11,4.3,-4.6914
12,8.9,-6.1061
13,4.8,-4.5122
14,4.3,-7.9304
15,4.1,-9.7835
16,5.2,-6.0678
17,2.9,-6.1497
18,8.8,-6.3555
19,5.4,-7.5422
20,4.3,-6.8089
21,6.5,-7.2833
22,5.4,-6.9534
23,1.7,-8.2211
24,4.2,-7.1745
25,6.7,-7.8365